(1)
# HoLuHfSc

An optimized crystal structure of HoLuHfSc (GGA-PBE, the Alexandria database).

The structure in POSCAR format:
```
HoLuHfSc
1.0
7.500 0.000 0.000
0.000 7.500 0.000
0.000 0.000 7.500
Ho Lu Hf Sc
4 4 4 4
Direct
0.000 0.000 0.000 Ho
0.000 0.500 0.500 Ho
0.500 0.000 0.500 Ho
0.500 0.500 0.000 Ho
0.250 0.250 0.750 Lu
0.250 0.750 0.250 Lu
0.750 0.250 0.250 Lu
0.750 0.750 0.750 Lu
0.000 0.000 0.500 Hf
0.000 0.500 0.000 Hf
0.500 0.000 0.000 Hf
0.500 0.500 0.500 Hf
0.250 0.250 0.250 Sc
0.250 0.750 0.750 Sc
0.750 0.250 0.750 Sc
0.750 0.750 0.250 Sc
```

Calculated volume in Å³/atom: 26.37
ΔH_f (0 K) in eV/atom: 0.2364
Theoretical density in Mg/m³: 8.87


(2)
# HoLuHfZr

An optimized crystal structure of HoLuHfZr (GGA-PBE, the Alexandria database).

The structure in POSCAR format:
```
HoLuHfZr
1.0
7.455 0.000 0.000
0.000 7.455 0.000
0.000 0.000 7.455
Ho Lu Hf Zr
4 4 4 4
Direct
0.000 0.000 0.000 Ho
0.000 0.500 0.500 Ho
0.500 0.000 0.500 Ho
0.500 0.500 0.000 Ho
0.250 0.250 0.750 Lu
0.250 0.750 0.250 Lu
0.750 0.250 0.250 Lu
0.750 0.750 0.750 Lu
0.250 0.250 0.250 Hf
0.250 0.750 0.750 Hf
0.750 0.250 0.750 Hf
0.750 0.750 0.250 Hf
0.000 0.000 0.500 Zr
0.000 0.500 0.000 Zr
0.500 0.000 0.000 Zr
0.500 0.500 0.500 Zr
```

Calculated volume in Å³/atom: 25.90
ΔH_f (0 K) in eV/atom: 0.2420
Theoretical density in Mg/m³: 9.77


(3)
# Ho2HfMg

An optimized crystal structure of Ho2HfMg (GGA-PBE, the Alexandria database).

The structure in POSCAR format:
```
Ho2HfMg
1.0
3.351 0.000 0.000
-1.675 2.902 0.000
0.000 0.000 33.175
Ho Hf Mg
6 3 3
Direct
0.000 0.000 0.000 Ho
0.000 0.000 0.175 Ho
0.333 0.667 0.667 Ho
0.333 0.667 0.842 Ho
0.667 0.333 0.333 Ho
0.667 0.333 0.508 Ho
0.000 0.000 0.588 Hf
0.333 0.667 0.254 Hf
0.667 0.333 0.921 Hf
0.000 0.000 0.754 Mg
0.333 0.667 0.421 Mg
0.667 0.333 0.088 Mg
```

Calculated volume in Å³/atom: 26.88
ΔH_f (0 K) in eV/atom: 0.0836
Offset from the most stable computed form in eV per atom: 0.073
Theoretical density in Mg/m³: 8.23


(4)
# Ho2HfMg

An optimized crystal structure of Ho2HfMg (GGA-PBE, the Alexandria database).

The structure in POSCAR format:
```
Ho2HfMg
1.0
3.200 0.000 0.000
-1.600 2.772 0.000
0.000 0.000 36.400
Ho Hf Mg
6 3 3
Direct
0.000 0.000 0.087 Ho
0.000 0.000 0.913 Ho
0.333 0.667 0.579 Ho
0.333 0.667 0.754 Ho
0.667 0.333 0.246 Ho
0.667 0.333 0.421 Ho
0.000 0.000 0.000 Hf
0.333 0.667 0.667 Hf
0.667 0.333 0.333 Hf
0.000 0.000 0.500 Mg
0.333 0.667 0.167 Mg
0.667 0.333 0.833 Mg
```

Calculated volume in Å³/atom: 26.91
ΔH_f (0 K) in eV/atom: 0.3729
Offset from the most stable computed form in eV per atom: 0.362
Theoretical density in Mg/m³: 8.22


(5)
# Ho2HfMg

An optimized crystal structure of Ho2HfMg (GGA-PBE, the Alexandria database).

The structure in POSCAR format:
```
Ho2HfMg
1.0
5.525 0.000 0.000
0.000 5.525 0.000
0.000 0.000 3.449
Ho Hf Mg
2 1 1
Direct
0.000 0.500 0.000 Ho
0.500 0.000 0.000 Ho
0.000 0.000 0.500 Hf
0.500 0.500 0.500 Mg
```

Calculated volume in Å³/atom: 26.32
ΔH_f (0 K) in eV/atom: 0.1471
Offset from the most stable computed form in eV per atom: 0.136
Theoretical density in Mg/m³: 8.40


(6)
# Ho2HfMg

An optimized crystal structure of Ho2HfMg (GGA-PBE, the Alexandria database).

The structure in POSCAR format:
```
Ho2HfMg
1.0
3.382 0.000 0.000
0.000 3.382 0.000
0.000 0.000 9.331
Ho Hf Mg
2 1 1
Direct
0.000 0.000 0.242 Ho
0.000 0.000 0.758 Ho
0.500 0.500 0.000 Hf
0.500 0.500 0.500 Mg
```

Calculated volume in Å³/atom: 26.69
ΔH_f (0 K) in eV/atom: 0.0108
Offset from the most stable computed form in eV per atom: 0.000
Theoretical density in Mg/m³: 8.29


| no. | total magnetic moment (μB per cell) | VASP energy (eV/atom) |
| --- | --- | --- |
| 1 | 3.555 | -6.110 |
| 2 | 6.899 | -6.658 |
| 3 | 0.001 | -5.092 |
| 4 | 0.005 | -4.803 |
| 5 | 0.000 | -5.029 |
| 6 | 0.000 | -5.165 |